KTl3Bi: relaxed, PBE.

Structure (extended XYZ):
```
5
Lattice="6.2031 0.0000 0.0000 0.0000 6.2031 0.0000 0.0000 0.0000 6.2031" Properties=species:S:1:pos:R:3 pbc="T T T"
K 3.1015 3.1015 3.1015
Tl 0.0000 3.1015 0.0000
Tl 0.0000 0.0000 3.1015
Tl 3.1015 0.0000 0.0000
Bi 0.0000 0.0000 0.0000
```

Calculated values
- space group = Pm-3m, No. 221
- theoretical density (g cm⁻³) = 6.0
- polymorph energy (0 for the lowest one) (eV/atom) = 0.293
- DOS at the Fermi energy (states/eV per cell) = 3.0
- E_tot (eV per cell) = -11.2
- energy of formation (meV per atom) = 176
- crystal system = cubic